# ZrGaSbS2 | Alexandria | GGA-PBE | relaxed
# Density = 4.9 g/cm3
data_ZrGaSbS2
_symmetry_space_group_name_H-M 'P 4/m m m'
_symmetry_Int_Tables_number 123
_symmetry_space_group_name_Hall '-P 4 2'
_cell_length_a 4.581
_cell_length_b 4.581
_cell_length_c 5.559
_cell_angle_alpha 90.00
_cell_angle_beta 90.00
_cell_angle_gamma 90.00
loop_
_atom_site_label
_atom_site_fract_x
_atom_site_fract_y
_atom_site_fract_z
Zr1 0.000 0.000 0.000
Ga1 0.000 0.000 0.500
Sb1 0.500 0.500 0.000
S1 0.000 0.500 0.500

=====

# ScGa2S4 | Alexandria | GGA-PBE | relaxed
# Density = 3.1 g/cm3
data_ScGa2S4
_symmetry_space_group_name_H-M 'P -4 2 m'
_symmetry_Int_Tables_number 111
_symmetry_space_group_name_Hall 'P -4 2'
_cell_length_a 5.320
_cell_length_b 5.320
_cell_length_c 5.901
_cell_angle_alpha 90.00
_cell_angle_beta 90.00
_cell_angle_gamma 90.00
loop_
_atom_site_label
_atom_site_fract_x
_atom_site_fract_y
_atom_site_fract_z
Sc1 0.000 0.000 0.000
Ga1 0.000 0.500 0.500
S1 0.261 0.261 0.259

=====

# Sc7GaS5 | Alexandria | GGA-PBE | relaxed
# Density = 3.7 g/cm3
data_Sc7GaS5
_symmetry_space_group_name_H-M 'C m c m'
_symmetry_Int_Tables_number 63
_symmetry_space_group_name_Hall '-C 2c 2'
_cell_length_a 3.657
_cell_length_b 12.215
_cell_length_c 21.825
_cell_angle_alpha 90.00
_cell_angle_beta 90.00
_cell_angle_gamma 90.00
loop_
_atom_site_label
_atom_site_fract_x
_atom_site_fract_y
_atom_site_fract_z
Sc1 0.000 0.022 0.250
Sc2 0.000 0.138 0.536
Sc3 0.000 0.318 0.177
Sc4 0.000 0.408 0.613
Ga1 0.000 0.306 0.750
S1 0.000 0.048 0.641
S2 0.000 0.224 0.072
S3 0.000 0.500 0.000

=====

# Sc2GaS4 | Alexandria | GGA-PBE | relaxed
# Density = 3.3 g/cm3
# Energy above the lowest structure with this stoichiometry = 100.2 meV per atom
data_Sc2GaS4
_symmetry_space_group_name_H-M 'C 1 2/m 1'
_symmetry_Int_Tables_number 12
_symmetry_space_group_name_Hall '-C 2y'
_cell_length_a 13.671
_cell_length_b 3.677
_cell_length_c 6.494
_cell_angle_alpha 90.00
_cell_angle_beta 116.43
_cell_angle_gamma 90.00
loop_
_atom_site_label
_atom_site_fract_x
_atom_site_fract_y
_atom_site_fract_z
Sc1 0.232 0.000 0.221
Ga1 0.000 0.500 0.500
S1 0.126 0.500 0.947
S2 0.137 0.000 0.486

=====

no.,raw total energy (eV per atom),spin magnetization (μB per atom)
1,-4.42,0.00
2,-5.02,0.00
3,-6.80,0.00
4,-6.00,0.00